Here is Hf2BeGa after structural relaxation from the Alexandria database. Energies are from GGA-PBEsol.

Summary:
D(E_F) in states/eV/cell: 2.93
Calculated formation energy in eV per atom: -0.17
SG: No. 225

The structure in POSCAR format:
```
Hf2BeGa
1.0
4.524 0.000 0.000
2.262 3.918 0.000
2.262 1.306 3.694
Be Hf Ga
1 2 1
Cartesian
0.000 0.000 0.000
2.262 1.306 0.924
6.786 3.918 2.771
4.524 2.612 1.847
```



Here is Cr2W after structural relaxation from the Alexandria database. Energies are from GGA-PBEsol.

Summary:
D(E_F) in states/eV/cell: 38.84
Calculated formation energy in eV per atom: 0.07
SG: No. 194
Offset from the most stable computed form in eV/atom: 0.006

The structure in POSCAR format:
```
Cr2W
1.0
-3.428 -1.883 -2.712
1.777 -2.481 3.653
-10.774 6.100 9.383
Cr W
16 8
Cartesian
-9.400 3.064 9.753
-3.026 -1.327 0.570
-5.747 0.213 2.940
-6.679 1.523 7.384
0.888 -1.240 1.826
-1.714 -0.941 -1.356
-0.826 -2.182 0.470
-4.499 1.810 6.518
-7.101 2.109 3.335
-6.213 0.868 5.162
-8.903 1.231 8.267
-8.060 3.457 7.787
-7.154 2.192 9.651
-3.523 0.505 2.056
-4.366 -1.721 2.536
-5.272 -0.456 0.673
-9.743 5.516 8.485
-1.031 0.584 0.898
-4.356 2.466 3.793
-6.418 3.634 5.590
-1.631 -1.335 2.988
-10.795 3.071 7.336
-8.753 1.915 5.558
-3.673 -0.178 4.766
```



Here is KMg3Pb after structural relaxation from the Alexandria database. Energies are from GGA-PBEsol.

Summary:
D(E_F) in states/eV/cell: 2.78
Calculated formation energy in eV per atom: 0.27
SG: No. 221

The structure in POSCAR format:
```
KMg3Pb
1.0
-3.780 0.541 -4.194
1.978 -4.746 -2.395
-3.738 -3.059 2.974
Pb K Mg
1 1 3
Cartesian
0.000 0.000 0.000
-2.770 -3.632 -1.808
0.989 -2.373 -1.198
-1.869 -1.529 1.487
-1.890 0.271 -2.097
```



Here is ScIn2Fe after structural relaxation from the Alexandria database. Energies are from GGA-PBEsol.

Summary:
D(E_F) in states/eV/cell: 2.29
Calculated formation energy in eV per atom: -0.07
SG: No. 139

The structure in POSCAR format:
```
ScIn2Fe
1.0
-3.001 0.108 -3.123
1.114 -4.470 1.781
-2.892 -1.737 2.719
Fe In Sc
1 2 1
Cartesian
-2.946 -0.815 -0.202
-0.916 -2.642 0.790
-3.863 -3.457 0.587
0.000 0.000 0.000
```



Here is AlPt2Rh after structural relaxation from the Alexandria database. Energies are from GGA-PBEsol.

Summary:
D(E_F) in states/eV/cell: 4.07
Calculated formation energy in eV per atom: -0.42
SG: No. 216

The structure in POSCAR format:
```
AlPt2Rh
1.0
-1.194 4.152 0.435
-3.969 1.259 -1.232
-2.950 1.109 2.987
Rh Al Pt
1 1 2
Cartesian
-2.028 1.630 0.548
-4.056 3.260 1.095
0.000 0.000 0.000
-6.084 4.890 1.643
```



Here is Mg2ZnSb after structural relaxation from the Alexandria database. Energies are from GGA-PBEsol.

Summary:
Formation energy without anion corrections in eV per atom: 0.04
D(E_F) in states/eV/cell: 2.20
SG: No. 216
Offset from the most stable computed form in eV/atom: 0.184

The structure in POSCAR format:
```
Mg2ZnSb
1.0
-4.466 2.042 -0.733
-3.784 -2.804 -1.572
-3.750 -1.060 3.077
Mg Sb Zn
2 1 1
Cartesian
0.000 0.000 0.000
-9.000 -1.366 0.579
-6.000 -0.911 0.386
-3.000 -0.455 0.193
```



no.,magnetization (μB per formula unit)
1,0.0
2,0.0
3,0.0
4,1.7
5,0.0
6,0.0